(1)
This record from Alexandria describes a relaxed structure of Rb2BaMoI6. The functional is PBE.

Cell lengths 8.715, 8.715, 8.715 Å; angles 60.00, 60.00, 90.00 degrees
Fractional positions:
I: 0.728 0.272 0.000
I: 0.272 0.728 0.000
I: 0.728 0.728 0.000
I: 0.272 0.272 0.457
I: 0.272 0.272 0.000
I: 0.728 0.728 0.543
Rb: 0.750 0.250 0.500
Rb: 0.250 0.750 0.500
Mo: 0.500 0.500 0.000
Ba: 0.000 0.000 0.000

* total magnetization: 2.0 μB/cell
* crystal system: cubic
* formation energy (no corrections): -941 meV/atom

---

(2)
This record from Alexandria describes a relaxed structure of BaInBiO. The functional is PBE.

Cell lengths 4.657, 4.657, 13.713 Å; angles 80.22, 80.22, 60.00 degrees
Fractional positions:
In: 0.243 0.243 0.270
In: 0.757 0.757 0.730
Bi: 0.608 0.608 0.175
Bi: 0.392 0.392 0.825
Ba: 0.000 0.000 0.000
Ba: 0.500 0.500 0.500
O: 0.193 0.193 0.420
O: 0.807 0.807 0.580

* total magnetization: 0.0 μB/cell
* crystal system: trigonal
* formation energy (no corrections): -1121 meV/atom

---

(3)
This record from Alexandria describes a relaxed structure of LaSmGdZn. The functional is PBE.

Cell lengths 5.472, 5.472, 5.472 Å; angles 60.00, 60.00, 60.00 degrees
Fractional positions:
La: 0.250 0.250 0.250
Gd: 0.500 0.500 0.500
Zn: 0.000 0.000 0.000
Sm: 0.750 0.750 0.750

* electronic total energy: -6.230 eV/atom
* total magnetization: 7.9 μB/cell
* crystal system: cubic

---

(4)
This record from Alexandria describes a relaxed structure of Zr2TaRu. The functional is PBE.

Cell lengths 9.147, 9.147, 9.147 Å; angles 19.94, 19.94, 19.94 degrees
Fractional positions:
Ru: 0.750 0.750 0.750
Zr: 0.007 0.007 0.007
Zr: 0.493 0.493 0.493
Ta: 0.250 0.250 0.250

* total magnetization: 0.0 μB/cell
* crystal system: trigonal
* excess energy over the best structure of this formula in the dataset: 0.257 eV per atom

---

(5)
This record from Alexandria describes a relaxed structure of CsZrI3. The functional is PBE.

Cell lengths 8.319, 8.319, 8.319 Å; angles 61.58, 61.58, 61.58 degrees
Fractional positions:
I: 0.194 0.299 0.747
I: 0.799 0.694 0.247
I: 0.247 0.799 0.694
I: 0.299 0.747 0.194
I: 0.747 0.194 0.299
I: 0.694 0.247 0.799
Zr: 0.496 0.496 0.496
Zr: 0.996 0.996 0.996
Cs: 0.247 0.247 0.247
Cs: 0.747 0.747 0.747

* total magnetization: 4.0 μB/cell
* crystal system: trigonal
* excess energy over the best structure of this formula in the dataset: 0.148 eV per atom
* formation energy (no corrections): -890 meV/atom

---

(6)
This record from Alexandria describes a relaxed structure of PuGePt4. The functional is PBE.

Cell lengths 4.023, 6.981, 7.647 Å; angles 90.00, 90.00, 90.00 degrees
Fractional positions:
Pu: 0.000 0.635 0.750
Pu: 0.000 0.365 0.250
Pt: 0.000 0.000 0.500
Pt: 0.500 0.309 0.546
Pt: 0.500 0.309 0.954
Pt: 0.000 0.000 0.000
Pt: 0.500 0.053 0.250
Pt: 0.500 0.691 0.454
Pt: 0.500 0.947 0.750
Pt: 0.500 0.691 0.046
Ge: 0.000 0.227 0.750
Ge: 0.000 0.773 0.250

* total magnetization: 10.2 μB/cell
* crystal system: orthorhombic
* excess energy over the best structure of this formula in the dataset: 0.000 eV per atom

---

Repeat the fifth record exactly.
This record from Alexandria describes a relaxed structure of CsZrI3. The functional is PBE.

Cell lengths 8.319, 8.319, 8.319 Å; angles 61.58, 61.58, 61.58 degrees
Fractional positions:
I: 0.194 0.299 0.747
I: 0.799 0.694 0.247
I: 0.247 0.799 0.694
I: 0.299 0.747 0.194
I: 0.747 0.194 0.299
I: 0.694 0.247 0.799
Zr: 0.496 0.496 0.496
Zr: 0.996 0.996 0.996
Cs: 0.247 0.247 0.247
Cs: 0.747 0.747 0.747

* total magnetization: 4.0 μB/cell
* crystal system: trigonal
* excess energy over the best structure of this formula in the dataset: 0.148 eV per atom
* formation energy (no corrections): -890 meV/atom

---

Please write out number 5 again, unchanged.
This record from Alexandria describes a relaxed structure of CsZrI3. The functional is PBE.

Cell lengths 8.319, 8.319, 8.319 Å; angles 61.58, 61.58, 61.58 degrees
Fractional positions:
I: 0.194 0.299 0.747
I: 0.799 0.694 0.247
I: 0.247 0.799 0.694
I: 0.299 0.747 0.194
I: 0.747 0.194 0.299
I: 0.694 0.247 0.799
Zr: 0.496 0.496 0.496
Zr: 0.996 0.996 0.996
Cs: 0.247 0.247 0.247
Cs: 0.747 0.747 0.747

* total magnetization: 4.0 μB/cell
* crystal system: trigonal
* excess energy over the best structure of this formula in the dataset: 0.148 eV per atom
* formation energy (no corrections): -890 meV/atom

---

Repeat the sixth record exactly.
This record from Alexandria describes a relaxed structure of PuGePt4. The functional is PBE.

Cell lengths 4.023, 6.981, 7.647 Å; angles 90.00, 90.00, 90.00 degrees
Fractional positions:
Pu: 0.000 0.635 0.750
Pu: 0.000 0.365 0.250
Pt: 0.000 0.000 0.500
Pt: 0.500 0.309 0.546
Pt: 0.500 0.309 0.954
Pt: 0.000 0.000 0.000
Pt: 0.500 0.053 0.250
Pt: 0.500 0.691 0.454
Pt: 0.500 0.947 0.750
Pt: 0.500 0.691 0.046
Ge: 0.000 0.227 0.750
Ge: 0.000 0.773 0.250

* total magnetization: 10.2 μB/cell
* crystal system: orthorhombic
* excess energy over the best structure of this formula in the dataset: 0.000 eV per atom